Entry 1:
Crystalline BaYSc2Rh at its relaxed geometry, computed with GGA-PBE.

```
data_BaYSc2Rh
_space_group_name_H-M_alt 'P 4/m m m'
_space_group_IT_number 123
_space_group_name_Hall '-P 4 2'
_cell_length_a 5.254
_cell_length_b 5.254
_cell_length_c 5.485
_cell_angle_alpha 90.00
_cell_angle_beta 90.00
_cell_angle_gamma 90.00
loop_
_atom_site_label
_atom_site_type_symbol
_atom_site_fract_x
_atom_site_fract_y
_atom_site_fract_z
Ba1 Ba 0.000 0.000 0.000
Y1 Y 0.500 0.500 0.000
Sc1 Sc 0.000 0.500 0.500
Rh1 Rh 0.500 0.500 0.500
```

* ΔE_f: -1.182 eV per formula unit
* V: 151.4 Å³/cell

Entry 2:
Crystalline SrSeCl2 at its relaxed geometry, computed with GGA-PBE.

```
data_SrSeCl2
_space_group_name_H-M_alt 'P 4/m m m'
_space_group_IT_number 123
_space_group_name_Hall '-P 4 2'
_cell_length_a 3.502
_cell_length_b 3.502
_cell_length_c 11.577
_cell_angle_alpha 90.00
_cell_angle_beta 90.00
_cell_angle_gamma 90.00
loop_
_atom_site_label
_atom_site_type_symbol
_atom_site_fract_x
_atom_site_fract_y
_atom_site_fract_z
Sr1 Sr 0.000 0.000 0.000
Se1 Se 0.000 0.000 0.500
Cl1 Cl 0.500 0.500 0.142
```

* energy above the most stable polymorph in this dataset: 268 meV/atom
* V: 142.0 Å³/cell

Entry 3:
Crystalline CaTcRh at its relaxed geometry, computed with GGA-PBE.

```
data_CaTcRh
_space_group_name_H-M_alt 'I m m 2'
_space_group_IT_number 44
_space_group_name_Hall 'I 2 -2'
_cell_length_a 2.881
_cell_length_b 3.766
_cell_length_c 10.771
_cell_angle_alpha 90.00
_cell_angle_beta 90.00
_cell_angle_gamma 90.00
loop_
_atom_site_label
_atom_site_type_symbol
_atom_site_fract_x
_atom_site_fract_y
_atom_site_fract_z
Ca1 Ca 0.000 0.000 0.000
Tc1 Tc 0.000 0.000 0.291
Rh1 Rh 0.000 0.000 0.703
```

* energy above the most stable polymorph in this dataset: 267 meV/atom
* ΔE_f: 0.495 eV per formula unit
* V: 116.9 Å³/cell

Entry 4:
Crystalline CdSiCl at its relaxed geometry, computed with GGA-PBE.

```
data_CdSiCl
_space_group_name_H-M_alt 'I 4 m m'
_space_group_IT_number 107
_space_group_name_Hall 'I 4 -2'
_cell_length_a 3.338
_cell_length_b 3.338
_cell_length_c 11.602
_cell_angle_alpha 90.00
_cell_angle_beta 90.00
_cell_angle_gamma 90.00
loop_
_atom_site_label
_atom_site_type_symbol
_atom_site_fract_x
_atom_site_fract_y
_atom_site_fract_z
Cd1 Cd 0.000 0.000 0.000
Si1 Si 0.000 0.000 0.648
Cl1 Cl 0.000 0.000 0.338
```

* energy above the most stable polymorph in this dataset: 329 meV/atom
* V: 129.3 Å³/cell

Entry 5:
Crystalline Sr2ErSi3Pt12 at its relaxed geometry, computed with GGA-PBE.

```
data_Sr2ErSi3Pt12
_space_group_name_H-M_alt 'R -3 m'
_space_group_IT_number 166
_space_group_name_Hall '-R 3 2"'
_cell_length_a 8.4038
_cell_length_b 8.4038
_cell_length_c 18.1609
_cell_angle_alpha 90.00
_cell_angle_beta 90.00
_cell_angle_gamma 120.00
loop_
_atom_site_label
_atom_site_type_symbol
_atom_site_fract_x
_atom_site_fract_y
_atom_site_fract_z
Sr1 Sr 0.0000 0.0000 0.0998
Er1 Er 0.0000 0.0000 0.5000
Si1 Si 0.0000 0.5000 0.0000
Pt1 Pt 0.0213 0.5107 0.8716
Pt2 Pt 0.0400 0.5200 0.3658
```

* E: -5.837 eV/atom
* V: 1110.8 Å³/cell

Entry 6:
Crystalline LiPaI5 at its relaxed geometry, computed with GGA-PBE.

```
data_LiPaI5
_space_group_name_H-M_alt 'C 1 2/c 1'
_space_group_IT_number 15
_space_group_name_Hall '-C 2yc'
_cell_length_a 11.872
_cell_length_b 11.517
_cell_length_c 11.615
_cell_angle_alpha 90.00
_cell_angle_beta 118.80
_cell_angle_gamma 90.00
loop_
_atom_site_label
_atom_site_type_symbol
_atom_site_fract_x
_atom_site_fract_y
_atom_site_fract_z
Li1 Li 0.000 0.128 0.250
Pa1 Pa 0.250 0.250 0.000
I1 I 0.000 0.329 0.750
I2 I 0.121 0.292 0.165
I3 I 0.172 0.001 0.468
```

* E: -3.722 eV/atom
* V: 1391.7 Å³/cell